No. 1
Below is an optimized crystal structure of Y2CoNi3P4, with properties calculated at the PBE level.

abc: 3.9606 3.9606 9.1492
angles: 90.00 90.00 90.00
Space group P-4m2 (No. 115)
Asymmetric unit:
Y1 0.0000 0.5000 0.2474 [2 per cell]
Co1 0.0000 0.0000 0.5000 [1 per cell]
Ni1 0.0000 0.5000 0.8805 [2 per cell]
Ni2 0.5000 0.5000 0.5000 [1 per cell]
P1 0.0000 0.0000 0.0000 [1 per cell]
P2 0.0000 0.5000 0.6311 [2 per cell]
P3 0.5000 0.5000 0.0000 [1 per cell]

Properties
- total energy (eV/atom) = -6.873
- V (Å³/f.u.) = 144



No. 2
Below is an optimized crystal structure of Ca2Hg2Pb, with properties calculated at the PBE level.

abc: 11.9904 4.6769 11.5001
angles: 90.00 114.93 90.00
Space group C2/m (No. 12)
Asymmetric unit:
Ca1 0.0033 0.0000 0.3318 [4 per cell]
Ca2 0.1836 0.0000 0.0994 [4 per cell]
Hg1 0.0509 0.5000 0.8957 [4 per cell]
Hg2 0.1340 0.5000 0.5542 [4 per cell]
Pb1 0.2094 0.5000 0.3191 [4 per cell]

Properties
- V (Å³/f.u.) = 146
- polymorph energy (0 for the lowest one) (eV/atom) = 0.039



No. 3
Below is an optimized crystal structure of ThPa2Rh, with properties calculated at the PBE level.

abc: 4.3462 4.3462 18.1703
angles: 90.00 90.00 120.00
Space group R-3m (No. 166, hexagonal axes)
Asymmetric unit:
Th1 0.0000 0.0000 0.0000 [3 per cell]
Pa1 0.0000 0.0000 0.2393 [6 per cell]
Rh1 0.0000 0.0000 0.5000 [3 per cell]

Properties
- V (Å³/f.u.) = 99
- polymorph energy (0 for the lowest one) (eV/atom) = 0.428



No. 4
Below is an optimized crystal structure of Zr2CdCuH, with properties calculated at the PBE level.

abc: 4.4364 4.4364 4.0681
angles: 90.00 90.00 90.00
Space group P4/mmm (No. 123)
Asymmetric unit:
Zr1 0.0000 0.5000 0.0000 [2 per cell]
Cd1 0.0000 0.0000 0.5000 [1 per cell]
Cu1 0.5000 0.5000 0.5000 [1 per cell]
H1 0.5000 0.5000 0.0000 [1 per cell]

Properties
- total energy (eV/atom) = -5.244
- V (Å³/f.u.) = 80



No. 5
Below is an optimized crystal structure of SiW3, with properties calculated at the PBE level.

abc: 3.2681 3.2681 5.7312
angles: 90.00 90.00 90.00
Space group P4/mmm (No. 123)
Asymmetric unit:
Si1 0.0000 0.0000 0.0000 [1 per cell]
W1 0.0000 0.0000 0.5000 [1 per cell]
W2 0.5000 0.5000 0.2357 [2 per cell]

Properties
- V (Å³/f.u.) = 61
- energy relative to the elements, uncorrected (kJ/mol of formula units) = 33



No. 6
Below is an optimized crystal structure of K2PrAgF6, with properties calculated at the PBE level.

abc: 9.4402 9.4402 9.4402
angles: 90.00 90.00 90.00
Space group Fm-3m (No. 225)
Asymmetric unit:
K1 0.2500 0.2500 0.2500 [8 per cell]
Pr1 0.0000 0.0000 0.0000 [4 per cell]
Ag1 0.0000 0.0000 0.5000 [4 per cell]
F1 0.0000 0.0000 0.2421 [24 per cell]

Properties
- V (Å³/f.u.) = 210
- energy relative to the elements, uncorrected (kJ/mol of formula units) = -2731
- polymorph energy (0 for the lowest one) (eV/atom) = 0.071



No. 7
Below is an optimized crystal structure of Pm4Pu2Sb3N2, with properties calculated at the PBE level.

abc: 4.8050 4.8050 25.4699
angles: 90.00 90.00 90.00
Space group I4/mmm (No. 139)
Asymmetric unit:
Pm1 0.0000 0.5000 0.0849 [8 per cell]
Pu1 0.0000 0.0000 0.1927 [4 per cell]
Sb1 0.0000 0.0000 0.3210 [4 per cell]
Sb2 0.0000 0.0000 0.5000 [2 per cell]
N1 0.0000 0.0000 0.1068 [4 per cell]

Properties
- V (Å³/f.u.) = 294
- energy relative to the elements, uncorrected (kJ/mol of formula units) = -1075



No. 8
Below is an optimized crystal structure of Y2ZrMn2, with properties calculated at the PBE level.

abc: 4.2855 4.2855 11.9917
angles: 90.00 90.00 90.00
Space group I4/mmm (No. 139)
Asymmetric unit:
Y1 0.0000 0.5000 0.2500 [4 per cell]
Zr1 0.0000 0.0000 0.0000 [2 per cell]
Mn1 0.0000 0.0000 0.4134 [4 per cell]

Properties
- V (Å³/f.u.) = 110
- polymorph energy (0 for the lowest one) (eV/atom) = 0.323



No. 9
Below is an optimized crystal structure of CaTe2Br, with properties calculated at the PBE level.

abc: 4.0514 4.0514 30.1547
angles: 90.00 90.00 120.00
Space group R3m (No. 160, hexagonal axes)
Asymmetric unit:
Ca1 0.0000 0.0000 0.0000 [3 per cell]
Te1 0.0000 0.0000 0.2600 [3 per cell]
Te2 0.0000 0.0000 0.5214 [3 per cell]
Br1 0.0000 0.0000 0.7217 [3 per cell]

Properties
- V (Å³/f.u.) = 143
- energy relative to the elements, uncorrected (kJ/mol of formula units) = -278
- polymorph energy (0 for the lowest one) (eV/atom) = 0.329



No. 10
Below is an optimized crystal structure of YSeBr, with properties calculated at the PBE level.

abc: 6.8849 6.8849 6.8849
angles: 90.00 90.00 90.00
Space group F-43m (No. 216)
Asymmetric unit:
Y1 0.0000 0.0000 0.0000 [4 per cell]
Se1 0.0000 0.0000 0.5000 [4 per cell]
Br1 0.2500 0.2500 0.7500 [4 per cell]

Properties
- V (Å³/f.u.) = 82
- energy relative to the elements, uncorrected (kJ/mol of formula units) = -266



No. 11
Below is an optimized crystal structure of LiTlW2, with properties calculated at the PBE level.

abc: 2.9001 2.9001 29.5913
angles: 90.00 90.00 120.00
Space group R-3m (No. 166, hexagonal axes)
Asymmetric unit:
Li1 0.0000 0.0000 0.0000 [3 per cell]
Tl1 0.0000 0.0000 0.5000 [3 per cell]
W1 0.0000 0.0000 0.2512 [6 per cell]

Properties
- V (Å³/f.u.) = 72
- polymorph energy (0 for the lowest one) (eV/atom) = 0.552



No. 12
Below is an optimized crystal structure of ZrCu2Mo, with properties calculated at the PBE level.

abc: 3.9811 3.9811 3.9082
angles: 90.00 90.00 90.00
Space group P4/mmm (No. 123)
Asymmetric unit:
Zr1 0.0000 0.0000 0.0000 [1 per cell]
Cu1 0.0000 0.5000 0.5000 [2 per cell]
Mo1 0.5000 0.5000 0.0000 [1 per cell]

Properties
- V (Å³/f.u.) = 62
- polymorph energy (0 for the lowest one) (eV/atom) = 0.000



No. 13
Below is an optimized crystal structure of Sm2Hg2Pb, with properties calculated at the PBE level.

abc: 8.2408 8.2408 4.1561
angles: 90.00 90.00 90.00
Space group P4/mbm (No. 127)
Asymmetric unit:
Sm1 0.1700 0.3300 0.0000 [4 per cell]
Hg1 0.1275 0.6275 0.5000 [4 per cell]
Pb1 0.0000 0.0000 0.5000 [2 per cell]

Properties
- V (Å³/f.u.) = 141
- polymorph energy (0 for the lowest one) (eV/atom) = 0.000



No. 14
Below is an optimized crystal structure of MgBiTe3, with properties calculated at the PBE level.

abc: 5.8818 5.8818 5.8818
angles: 90.00 90.00 90.00
Space group Pm-3m (No. 221)
Asymmetric unit:
Mg1 0.0000 0.0000 0.0000 [1 per cell]
Bi1 0.5000 0.5000 0.5000 [1 per cell]
Te1 0.0000 0.5000 0.5000 [3 per cell]

Properties
- V (Å³/f.u.) = 203
- energy relative to the elements, uncorrected (kJ/mol of formula units) = 203
- polymorph energy (0 for the lowest one) (eV/atom) = 0.779



No. 15
Below is an optimized crystal structure of VCuOs3, with properties calculated at the PBE level.

abc: 4.4707 4.4707 4.4707
angles: 90.00 90.00 90.00
Space group Pm-3m (No. 221)
Asymmetric unit:
V1 0.0000 0.0000 0.0000 [1 per cell]
Cu1 0.5000 0.5000 0.5000 [1 per cell]
Os1 0.0000 0.0000 0.5000 [3 per cell]

Properties
- V (Å³/f.u.) = 89
- polymorph energy (0 for the lowest one) (eV/atom) = 0.000



No. 16
Below is an optimized crystal structure of Pr2OsCl, with properties calculated at the PBE level.

abc: 4.1044 4.1044 23.3386
angles: 90.00 90.00 120.00
Space group R3m (No. 160, hexagonal axes)
Asymmetric unit:
Pr1 0.0000 0.0000 0.0000 [3 per cell]
Pr2 0.0000 0.0000 0.1970 [3 per cell]
Os1 0.0000 0.0000 0.5987 [3 per cell]
Cl1 0.0000 0.0000 0.7682 [3 per cell]

Properties
- V (Å³/f.u.) = 113
- energy relative to the elements, uncorrected (kJ/mol of formula units) = -260
- polymorph energy (0 for the lowest one) (eV/atom) = 0.067



No. 17
Below is an optimized crystal structure of K2RbErI6, with properties calculated at the PBE level.

abc: 8.7416 8.7416 22.9647
angles: 90.00 90.00 120.00
Space group R3 (No. 146, hexagonal axes)
Asymmetric unit:
K1 0.0000 0.0000 0.0000 [3 per cell]
K2 0.0000 0.0000 0.4883 [3 per cell]
Rb1 0.0000 0.0000 0.1985 [3 per cell]
Er1 0.0000 0.0000 0.6884 [3 per cell]
I1 0.0300 0.3940 0.4280 [9 per cell]
I2 0.0611 0.6731 0.2746 [9 per cell]

Properties
- V (Å³/f.u.) = 507
- energy relative to the elements, uncorrected (kJ/mol of formula units) = -1392



No. 18
Below is an optimized crystal structure of Ca3Tl3Cd8, with properties calculated at the PBE level.

abc: 4.7746 11.3678 13.8711
angles: 90.00 90.00 90.00
Space group Immm (No. 71)
Asymmetric unit:
Ca1 0.0000 0.0000 0.0000 [2 per cell]
Ca2 0.0000 0.0000 0.2992 [4 per cell]
Tl1 0.0000 0.1891 0.5000 [4 per cell]
Tl2 0.0000 0.5000 0.0000 [2 per cell]
Cd1 0.0000 0.2715 0.1563 [8 per cell]
Cd2 0.0000 0.3777 0.3492 [8 per cell]

Properties
- total energy (eV/atom) = -1.652
- V (Å³/f.u.) = 376



No. 19
Below is an optimized crystal structure of KBa2CaCd, with properties calculated at the PBE level.

abc: 6.7818 6.7818 6.2875
angles: 90.00 90.00 90.00
Space group P4/mmm (No. 123)
Asymmetric unit:
K1 0.0000 0.0000 0.0000 [1 per cell]
Ba1 0.0000 0.5000 0.5000 [2 per cell]
Ca1 0.5000 0.5000 0.0000 [1 per cell]
Cd1 0.5000 0.5000 0.5000 [1 per cell]

Properties
- total energy (eV/atom) = -1.573
- V (Å³/f.u.) = 289



No. 20
Below is an optimized crystal structure of SbSeN2O, with properties calculated at the PBE level.

abc: 4.0891 4.0891 3.9370
angles: 90.00 90.00 90.00
Space group P4/mmm (No. 123)
Asymmetric unit:
Sb1 0.0000 0.0000 0.0000 [1 per cell]
Se1 0.5000 0.5000 0.0000 [1 per cell]
N1 0.0000 0.5000 0.5000 [2 per cell]
O1 0.5000 0.5000 0.5000 [1 per cell]

Properties
- V (Å³/f.u.) = 66
- energy relative to the elements, uncorrected (kJ/mol of formula units) = 855